5
Lattice="5.104 0.000 0.000 0.000 5.104 0.000 0.000 0.000 3.910" Properties=species:S:1:pos:R:3 comment="CrAgCl2F (PBE with a Hubbard U, relaxed)" vol_a3_per_cell=101.9 e_tot_ev_per_cell=-21.75 pbc="T T T"
Cr 0.000 0.000 0.000
Ag 2.552 2.552 1.955
Cl 0.000 2.552 0.000
Cl 2.552 0.000 0.000
F 0.000 0.000 1.955